# MgCrCl2

A geometry-optimized MgCrCl2 structure (PBE, Alexandria via LeMat-Bulk). Values from VASP.

Geometry as Quantum ESPRESSO input:
```
&SYSTEM
  ibrav = 0, nat = 4, ntyp = 3
/
ATOMIC_SPECIES
Mg 24.30 Mg.upf
Cr 52.00 Cr.upf
Cl 35.45 Cl.upf
CELL_PARAMETERS angstrom
1.776 1.025 8.718
-1.776 1.025 8.718
0.000 -2.050 8.718
ATOMIC_POSITIONS angstrom
Mg 0.000 0.000 0.000
Cr 0.000 0.000 13.077
Cl 0.000 0.000 2.856
Cl 0.000 0.000 23.298
```

Electronic total energy: -4.257 eV per atom
Formation energy from raw total energies: -529 meV per atom
Mass density: 2567 kg/m³
Energy above the lowest structure with this stoichiometry: 0.45 eV per formula unit